Material: Al2NiPtI
Method: DFT, GGA-PBE
State: optimized geometry Values from VASP.

Geometry as Quantum ESPRESSO input:
```
&SYSTEM
  ibrav = 0, nat = 5, ntyp = 4
/
ATOMIC_SPECIES
Al 26.98 Al.upf
Ni 58.69 Ni.upf
Pt 195.08 Pt.upf
I 126.90 I.upf
CELL_PARAMETERS angstrom
4.4418 0.0000 0.0000
0.0000 4.4418 0.0000
0.0000 0.0000 5.2275
ATOMIC_POSITIONS angstrom
Al 0.0000 2.2209 0.0000
Al 2.2209 0.0000 0.0000
Ni 0.0000 0.0000 0.0000
Pt 2.2209 2.2209 2.6137
I 0.0000 0.0000 2.6137
```

Total magnetization in μB/atom: 0.000
V in Å³ per cell: 103.1
Symmetry: No. 123
N(E_F) in states/eV/f.u.: 2.71
E_form (uncorrected) in eV per atom: 0.423

---

Material: AlCdPt2IN
Method: DFT, GGA-PBE
State: optimized geometry Values from VASP.

Geometry as Quantum ESPRESSO input:
```
&SYSTEM
  ibrav = 0, nat = 6, ntyp = 5
/
ATOMIC_SPECIES
Al 26.98 Al.upf
Cd 112.41 Cd.upf
Pt 195.08 Pt.upf
I 126.90 I.upf
N 14.01 N.upf
CELL_PARAMETERS angstrom
6.2392 -1.8911 0.0000
6.2392 1.8911 0.0000
-2.5833 0.0000 5.6117
ATOMIC_POSITIONS angstrom
Al 0.0000 0.0000 0.0000
Cd 2.3005 0.0000 2.9441
Pt -0.3679 0.0000 2.4577
Pt 4.5312 0.0000 4.3595
I 9.3129 0.0000 0.4601
N 5.7813 0.0000 2.5889
```

Total magnetization in μB/atom: 0.000
V in Å³ per cell: 132.4
Symmetry: No. 8
N(E_F) in states/eV/f.u.: 2.14
E_form (uncorrected) in eV per atom: -0.044
E above lowest polymorph in meV/atom: 32

---

Material: PRhSeO2
Method: DFT, GGA-PBE
State: optimized geometry Values from VASP.

Geometry as Quantum ESPRESSO input:
```
&SYSTEM
  ibrav = 0, nat = 5, ntyp = 4
/
ATOMIC_SPECIES
P 30.97 P.upf
Rh 102.91 Rh.upf
Se 78.96 Se.upf
O 16.00 O.upf
CELL_PARAMETERS angstrom
3.6653 0.0000 0.0000
0.0000 3.6653 0.0000
0.0000 0.0000 5.2460
ATOMIC_POSITIONS angstrom
P 0.0000 0.0000 0.0000
Rh 1.8327 1.8327 0.0000
Se 0.0000 0.0000 2.6230
O 0.0000 1.8327 2.6230
O 1.8327 0.0000 2.6230
```

Total magnetization in μB/atom: 0.086
V in Å³ per cell: 70.5
Symmetry: No. 123
N(E_F) in states/eV/f.u.: 4.25
E_form (uncorrected) in eV per atom: 0.313
E above lowest polymorph in meV/atom: 337